Entry 1:
Density functional theory data (PBE) for an optimized crystal structure of KTl2VBr6.

Cell lengths 7.9234, 7.9234, 19.7256 Å; angles 90.00, 90.00, 120.00 degrees
Space group R3 (No. 146, hexagonal axes)
One atom of each set of equivalent atoms:
K: 0.0000 0.0000 0.0000
Tl: 0.0000 0.0000 0.2094
Tl: 0.0000 0.0000 0.7192
V: 0.0000 0.0000 0.5070
Br: 0.0407 0.7616 0.5843
Br: 0.0959 0.3763 0.1005

Crystal system = trigonal


Entry 2:
Density functional theory data (PBE) for an optimized crystal structure of K2YTlBr6.

Cell lengths 8.1084, 8.1084, 21.0764 Å; angles 90.00, 90.00, 120.00 degrees
Space group R3 (No. 146, hexagonal axes)
One atom of each set of equivalent atoms:
K: 0.0000 0.0000 0.0000
K: 0.0000 0.0000 0.4887
Y: 0.0000 0.0000 0.6952
Tl: 0.0000 0.0000 0.2053
Br: 0.0232 0.3976 0.4339
Br: 0.0678 0.6859 0.2787

Energy relative to the lowest polymorph listed for this composition = 0 meV/atom
Crystal system = trigonal


Entry 3:
Density functional theory data (PBE) for an optimized crystal structure of KYTl2Br6.

Cell lengths 8.126, 8.136, 8.393 Å; angles 90.05, 118.93, 119.94 degrees
Space group P1 (No. 1)
One atom of each set of equivalent atoms:
K: 0.000 0.000 0.000
Y: 0.985 0.493 0.478
Tl: 0.574 0.287 0.860
Tl: 0.590 0.795 0.384
Br: 0.078 0.384 0.225
Br: 0.079 0.252 0.696
Br: 0.444 0.827 0.696
Br: 0.531 0.148 0.225
Br: 0.842 0.694 0.225
Br: 0.869 0.617 0.696

Crystal system = triclinic


Entry 4:
Density functional theory data (PBE) for an optimized crystal structure of K2YTlBr6.

Cell lengths 11.927, 11.927, 11.927 Å; angles 90.00, 90.00, 90.00 degrees
Space group Fm-3m (No. 225)
One atom of each set of equivalent atoms:
K: 0.250 0.250 0.250
Y: 0.000 0.000 0.000
Tl: 0.000 0.000 0.500
Br: 0.000 0.000 0.234

Energy relative to the lowest polymorph listed for this composition = 80 meV/atom
Crystal system = cubic


Entry 5:
Density functional theory data (PBE) for an optimized crystal structure of K3Tl3ZnBr8.

Cell lengths 16.151, 9.332, 9.392 Å; angles 90.00, 125.01, 90.00 degrees
Space group C2/m (No. 12)
One atom of each set of equivalent atoms:
K: 0.000 0.000 0.000
K: 0.250 0.250 0.000
Tl: 0.000 0.500 0.500
Tl: 0.250 0.250 0.500
Zn: 0.000 0.500 0.000
Br: 0.001 0.295 0.798
Br: 0.205 0.500 0.203
Br: 0.247 0.000 0.243

Crystal system = monoclinic


Entry 6:
Density functional theory data (PBE) for an optimized crystal structure of KTlZnBr4.

Cell lengths 7.560, 7.489, 9.182 Å; angles 90.00, 108.02, 90.00 degrees
Space group P2_1/m (No. 11)
One atom of each set of equivalent atoms:
K: 0.227 0.250 0.056
Tl: 0.262 0.250 0.567
Zn: 0.226 0.750 0.800
Br: 0.007 0.002 0.742
Br: 0.402 0.750 0.070
Br: 0.414 0.750 0.629

Crystal system = monoclinic


Entry 7:
Density functional theory data (PBE) for an optimized crystal structure of K2ZrTlBr6.

Cell lengths 7.7126, 7.7126, 48.7879 Å; angles 90.00, 90.00, 120.00 degrees
Space group R-3m (No. 166, hexagonal axes)
One atom of each set of equivalent atoms:
K: 0.0000 0.0000 0.1469
K: 0.0000 0.0000 0.3140
Zr: 0.0000 0.0000 0.0000
Zr: 0.0000 0.0000 0.5000
Tl: 0.0000 0.0000 0.4167
Br: 0.0037 0.5018 0.1338
Br: 0.0045 0.5022 0.6990

Crystal system = trigonal


Entry 8:
Density functional theory data (PBE) for an optimized crystal structure of KZrTl2Br8.

Cell lengths 6.864, 7.313, 9.372 Å; angles 89.99, 89.88, 89.85 degrees
Space group P-1 (No. 2)
One atom of each set of equivalent atoms:
K: 0.000 0.000 0.000
Zr: 0.000 0.000 0.500
Tl: 0.499 0.500 0.250
Br: 0.206 0.307 0.501
Br: 0.232 0.866 0.701
Br: 0.233 0.867 0.298
Br: 0.281 0.353 0.000

Crystal system = triclinic


Computed energy relative to the elements, uncorrected, in the same sequence as the records: -23.4; -37.9; -33.8; -36.0; -27.4; -26.4; -31.0; -25.7 kcal/mol of atoms.